[1]
Compound: YCd3Hg
Source: Alexandria
Functional: PBE
Structure: relaxed

## Properties
E_form	585	meV/atom
ΔE to the lowest computed polymorph	774	meV/atom

a = 6.110 Å, b = 6.110 Å, c = 6.110 Å
α = 90.00°, β = 90.00°, γ = 90.00°
Space group Pm-3m (No. 221)
Symmetry-distinct sites (fractional):
Y 0.000 0.000 0.000 [1 per cell]
Cd 0.000 0.000 0.500 [3 per cell]
Hg 0.500 0.500 0.500 [1 per cell]


[2]
Compound: Tb4Co2Au
Source: Alexandria
Functional: PBE
Structure: relaxed

## Properties
E_form	-290	meV/atom

a = 11.921 Å, b = 8.446 Å, c = 8.734 Å
α = 90.00°, β = 133.03°, γ = 90.00°
Space group C2 (No. 5)
Symmetry-distinct sites (fractional):
Tb 0.045 0.000 0.224 [4 per cell]
Tb 0.081 0.598 0.400 [4 per cell]
Tb 0.178 0.250 0.724 [4 per cell]
Tb 0.181 0.348 0.099 [4 per cell]
Co 0.116 0.294 0.356 [4 per cell]
Co 0.241 0.544 0.855 [4 per cell]
Au 0.000 0.662 0.000 [2 per cell]
Au 0.000 0.912 0.500 [2 per cell]


[3]
Compound: BaLi2N2
Source: Alexandria
Functional: PBE
Structure: relaxed

## Properties
formation energy (no corrections)	-34	kJ/mol of formula units

a = 3.898 Å, b = 3.898 Å, c = 8.097 Å
α = 90.00°, β = 90.00°, γ = 90.00°
Space group I4/mmm (No. 139)
Symmetry-distinct sites (fractional):
Ba 0.000 0.000 0.000 [2 per cell]
Li 0.000 0.500 0.250 [4 per cell]
N 0.000 0.000 0.400 [4 per cell]


For reference, D(E_F) by record: 6.5, 4.9, 0.0 states/eV/f.u..
For reference, V by record: 45.6, 23.0, 12.3 Å³ per atom.